Computed, not measured: a relaxed structure of CsGa at the PBE-GGA level of DFT.

Computed properties:
ΔH_f (0 K)   -0.002 eV per atom
Final energy   -0.1427 Ry per atom
Theoretical density   3.383 Mg/m³
Offset from the most stable computed form   55 meV/atom

Cell lengths 4.584, 17.037, 7.642 Å; angles 90.00, 90.00, 90.00 degrees
Space group Pmmn (No. 59, origin choice 2)
One atom of each set of equivalent atoms:
Cs: 0.250 0.026 0.229 [4 per cell]
Cs: 0.250 0.750 0.461 [2 per cell]
Ga: 0.250 0.250 0.009 [2 per cell]
Ga: 0.250 0.668 0.976 [4 per cell]